The following is a PBE calculation of Eu2InBi after structural relaxation, from Alexandria.

Structure (CIF):
```
data_Eu2InBi
_cell_length_a 8.006
_cell_length_b 8.006
_cell_length_c 8.006
_cell_angle_alpha 90.00
_cell_angle_beta 90.00
_cell_angle_gamma 90.00
_space_group_name_H-M_alt 'F m -3 m'
_space_group_IT_number 225
_space_group_name_Hall '-F 4 2 3'
loop_
_atom_site_label
_atom_site_fract_x
_atom_site_fract_y
_atom_site_fract_z
Eu1 0.250 0.250 0.250
In1 0.000 0.000 0.000
Bi1 0.000 0.000 0.500
```

Output
Energy (eV/atom): -7.374

The following is a PBE calculation of Tm4RhPb3 after structural relaxation, from Alexandria.

Structure (CIF):
```
data_Tm4RhPb3
_cell_length_a 3.485
_cell_length_b 3.485
_cell_length_c 16.771
_cell_angle_alpha 90.00
_cell_angle_beta 90.00
_cell_angle_gamma 90.00
_space_group_name_H-M_alt 'P 4/m m m'
_space_group_IT_number 123
_space_group_name_Hall '-P 4 2'
loop_
_atom_site_label
_atom_site_fract_x
_atom_site_fract_y
_atom_site_fract_z
Tm1 0.000 0.000 0.096
Tm2 0.000 0.000 0.366
Rh1 0.500 0.500 0.000
Pb1 0.500 0.500 0.235
Pb2 0.500 0.500 0.500
```

Output
Energy (eV/atom): -5.079

The following is a PBE calculation of LaPm6Pb4 after structural relaxation, from Alexandria.

Structure (CIF):
```
data_LaPm6Pb4
_cell_length_a 9.9111
_cell_length_b 9.9111
_cell_length_c 4.3636
_cell_angle_alpha 90.00
_cell_angle_beta 90.00
_cell_angle_gamma 120.00
_space_group_name_H-M_alt 'P -6 m 2'
_space_group_IT_number 187
_space_group_name_Hall 'P -6 2'
loop_
_atom_site_label
_atom_site_fract_x
_atom_site_fract_y
_atom_site_fract_z
La1 0.0000 0.0000 0.0000
Pm1 0.1974 0.3948 0.5000
Pm2 0.5399 0.0797 0.0000
Pb1 0.3320 0.1660 0.5000
Pb2 0.3333 0.6667 0.0000
```

Output
Energy (eV/atom): -4.801

The following is a PBE calculation of Li2PrTm2Ge2 after structural relaxation, from Alexandria.

Structure (CIF):
```
data_Li2PrTm2Ge2
_cell_length_a 4.5165
_cell_length_b 4.5165
_cell_length_c 26.6121
_cell_angle_alpha 90.00
_cell_angle_beta 90.00
_cell_angle_gamma 120.00
_space_group_name_H-M_alt 'R -3 m'
_space_group_IT_number 166
_space_group_name_Hall '-R 3 2"'
loop_
_atom_site_label
_atom_site_fract_x
_atom_site_fract_y
_atom_site_fract_z
Li1 0.0000 0.0000 0.0909
Pr1 0.0000 0.0000 0.5000
Tm1 0.0000 0.0000 0.3708
Ge1 0.0000 0.0000 0.2432
```

Output
Energy (eV/atom): -4.310

The following is a PBE calculation of TbTmThCd after structural relaxation, from Alexandria.

Structure (CIF):
```
data_TbTmThCd
_cell_length_a 3.601
_cell_length_b 3.601
_cell_length_c 8.817
_cell_angle_alpha 90.00
_cell_angle_beta 90.00
_cell_angle_gamma 90.00
_space_group_name_H-M_alt 'P 4 m m'
_space_group_IT_number 99
loop_
_space_group_symop_operation_xyz
'x,y,z'
'-y,x,z'
'-x,-y,z'
'y,-x,z'
'-x,y,z'
'y,x,z'
'x,-y,z'
'-y,-x,z'
loop_
_atom_site_label
_atom_site_fract_x
_atom_site_fract_y
_atom_site_fract_z
Tb1 0.000 0.000 0.000
Tm1 0.000 0.000 0.540
Th1 0.500 0.500 0.273
Cd1 0.500 0.500 0.764
```

Output
Energy (eV/atom): -4.521

The following is a PBE calculation of LiCe2Eu after structural relaxation, from Alexandria.

Structure (CIF):
```
data_LiCe2Eu
_cell_length_a 3.2640
_cell_length_b 3.2640
_cell_length_c 38.0839
_cell_angle_alpha 90.00
_cell_angle_beta 90.00
_cell_angle_gamma 120.00
_space_group_name_H-M_alt 'R -3 m'
_space_group_IT_number 166
_space_group_name_Hall '-R 3 2"'
loop_
_atom_site_label
_atom_site_fract_x
_atom_site_fract_y
_atom_site_fract_z
Li1 0.0000 0.0000 0.0000
Ce1 0.0000 0.0000 0.0843
Eu1 0.0000 0.0000 0.5000
```

Output
Energy (eV/atom): -5.665

The following is a PBE calculation of ScIr2Au after structural relaxation, from Alexandria.

Structure (CIF):
```
data_ScIr2Au
_cell_length_a 3.922
_cell_length_b 3.922
_cell_length_c 18.680
_cell_angle_alpha 90.00
_cell_angle_beta 90.00
_cell_angle_gamma 90.00
_space_group_name_H-M_alt 'I -4 2 d'
_space_group_IT_number 122
_space_group_name_Hall 'I -4 2bw'
loop_
_atom_site_label
_atom_site_fract_x
_atom_site_fract_y
_atom_site_fract_z
Sc1 0.000 0.000 0.000
Ir1 0.233 0.250 0.625
Au1 0.000 0.000 0.500
```

Output
Energy (eV/atom): -6.861

The following is a PBE calculation of PmHoIn2 after structural relaxation, from Alexandria.

Structure (CIF):
```
data_PmHoIn2
_cell_length_a 7.596
_cell_length_b 7.596
_cell_length_c 7.596
_cell_angle_alpha 90.00
_cell_angle_beta 90.00
_cell_angle_gamma 90.00
_space_group_name_H-M_alt 'F m -3 m'
_space_group_IT_number 225
_space_group_name_Hall '-F 4 2 3'
loop_
_atom_site_label
_atom_site_fract_x
_atom_site_fract_y
_atom_site_fract_z
Pm1 0.000 0.000 0.000
Ho1 0.000 0.000 0.500
In1 0.250 0.250 0.250
```

Output
Energy (eV/atom): -4.176

The following is a PBE calculation of TmPa2Tc after structural relaxation, from Alexandria.

Structure (CIF):
```
data_TmPa2Tc
_cell_length_a 3.299
_cell_length_b 3.299
_cell_length_c 8.866
_cell_angle_alpha 90.00
_cell_angle_beta 90.00
_cell_angle_gamma 90.00
_space_group_name_H-M_alt 'P 4/m m m'
_space_group_IT_number 123
_space_group_name_Hall '-P 4 2'
loop_
_atom_site_label
_atom_site_fract_x
_atom_site_fract_y
_atom_site_fract_z
Tm1 0.000 0.000 0.000
Pa1 0.500 0.500 0.298
Tc1 0.000 0.000 0.500
```

Output
Energy (eV/atom): -8.399

The following is a PBE calculation of TbPmInPb after structural relaxation, from Alexandria.

Structure (CIF):
```
data_TbPmInPb
_cell_length_a 5.030
_cell_length_b 5.030
_cell_length_c 8.964
_cell_angle_alpha 90.00
_cell_angle_beta 90.00
_cell_angle_gamma 90.00
_space_group_name_H-M_alt 'I -4 m 2'
_space_group_IT_number 119
_space_group_name_Hall 'I -4 -2'
loop_
_atom_site_label
_atom_site_fract_x
_atom_site_fract_y
_atom_site_fract_z
Tb1 0.000 0.000 0.000
Pm1 0.000 0.000 0.500
In1 0.000 0.500 0.250
Pb1 0.000 0.500 0.750
```

Output
Energy (eV/atom): -4.435

The following is a PBE calculation of Tb6SmY2Th after structural relaxation, from Alexandria.

Structure (CIF):
```
data_Tb6SmY2Th
_cell_length_a 9.274
_cell_length_b 14.996
_cell_length_c 9.503
_cell_angle_alpha 90.00
_cell_angle_beta 96.20
_cell_angle_gamma 90.00
_space_group_name_H-M_alt 'C 1 2/c 1'
_space_group_IT_number 15
loop_
_space_group_symop_operation_xyz
'x,y,z'
'-x,-y,-z'
'-x,y,-z+1/2'
'x,-y,z+1/2'
'x+1/2,y+1/2,z'
'-x+1/2,-y+1/2,-z'
'-x+1/2,y+1/2,-z+1/2'
'x+1/2,-y+1/2,z+1/2'
loop_
_atom_site_label
_atom_site_fract_x
_atom_site_fract_y
_atom_site_fract_z
Tb1 0.063 0.183 0.440
Tb2 0.096 0.391 0.616
Tb3 0.206 0.224 0.813
Sm1 0.000 0.030 0.750
Y1 0.247 0.051 0.049
Th1 0.000 0.408 0.250
```

Output
Energy (eV/atom): -5.137

The following is a PBE calculation of MnW2Au after structural relaxation, from Alexandria.

Structure (CIF):
```
data_MnW2Au
_cell_length_a 4.037
_cell_length_b 4.037
_cell_length_c 7.676
_cell_angle_alpha 90.00
_cell_angle_beta 90.00
_cell_angle_gamma 90.00
_space_group_name_H-M_alt 'I -4 m 2'
_space_group_IT_number 119
_space_group_name_Hall 'I -4 -2'
loop_
_atom_site_label
_atom_site_fract_x
_atom_site_fract_y
_atom_site_fract_z
Mn1 0.000 0.000 0.000
W1 0.000 0.000 0.500
W2 0.000 0.500 0.750
Au1 0.000 0.500 0.250
```

Output
Energy (eV/atom): -9.208

The following is a PBE calculation of SrZn4Br after structural relaxation, from Alexandria.

Structure (CIF):
```
data_SrZn4Br
_cell_length_a 8.232
_cell_length_b 8.232
_cell_length_c 8.232
_cell_angle_alpha 90.00
_cell_angle_beta 90.00
_cell_angle_gamma 90.00
_space_group_name_H-M_alt 'F -4 3 m'
_space_group_IT_number 216
_space_group_name_Hall 'F -4 2 3'
loop_
_atom_site_label
_atom_site_fract_x
_atom_site_fract_y
_atom_site_fract_z
Sr1 0.000 0.000 0.000
Zn1 0.126 0.126 0.626
Br1 0.250 0.250 0.250
```

Output
Formation energy from raw total energies (kJ per mole of atoms): -17
Energy (eV/atom): -1.588